# 1
K2NiC2O10 | GGA+U | relaxed

The density comes out at 2311 kg/m³. As for the total energy: -5.68 eV per atom.

It has space group P2_1/c (No. 14), with a = 7.226 Å, b = 5.647 Å, c = 11.502 Å, α = 90.00°, β = 100.66° and γ = 90.00°. The asymmetric unit holds K at (0.248, 0.166, 0.178), Ni at (0.500, 0.000, 0.500), C at (0.233, 0.699, 0.364), O at (0.117, 0.588, 0.293), O at (0.181, 0.710, 0.479), O at (0.305, 0.663, 0.066), O at (0.381, 0.250, 0.434) and O at (0.384, 0.695, 0.852).

***

# 2
Na4MnO4 | GGA+U | relaxed

The density comes out at 2554 kg/m³. As for the energy above the most stable polymorph in this dataset: 56 meV per atom.

It has space group Pc (No. 7), with a = 6.381 Å, b = 5.652 Å, c = 9.889 Å, α = 90.00°, β = 129.76° and γ = 90.00°. The asymmetric unit holds Na at (0.000, 0.114, 0.000), Na at (0.323, 0.308, 0.559), Na at (0.554, 0.300, 0.334), Na at (0.828, 0.379, 0.148), Mn at (0.274, 0.182, 0.828), O at (0.199, 0.129, 0.307), O at (0.372, 0.299, 0.036), O at (0.576, 0.259, 0.858) and O at (0.991, 0.273, 0.601).

***

Which of these has the highest density? Na4MnO4